A relaxed NdZr4N6 crystal. Source: Alexandria via LeMat-Bulk, functional PBE-GGA.

Summary:
As for the density of states at the Fermi level: 4.34 states/eV/cell. The energy relative to the elements, uncorrected comes out at -1678 kJ/mol of formula units.

a = 3.2583 Å, b = 10.8413 Å, c = 16.6015 Å
α = 90.00°, β = 90.00°, γ = 90.00°
Space group Cmcm (No. 63)
Symmetry-distinct sites (fractional):
Nd (0.0000, 0.1505, 0.2500) x4
Zr (0.0000, 0.1057, 0.6361) x8
Zr (0.0000, 0.3693, 0.5478) x8
N (0.0000, 0.0000, 0.0000) x4
N (0.0000, 0.1839, 0.7500) x4
N (0.0000, 0.2701, 0.0824) x8
N (0.0000, 0.4664, 0.6569) x8